Density functional theory data (SCAN) for a PBEsol-optimized structure of IrPt2Au.

a b c (Å): 2.7686 2.7686 27.4692
angles (deg): 90.00 90.00 120.00
Fractional positions:
Ir (0.0000, 0.0000, 0.0000)
Ir (0.3333, 0.6667, 0.6667)
Ir (0.6667, 0.3333, 0.3333)
Pt (0.0000, 0.0000, 0.2535)
Pt (0.0000, 0.0000, 0.7465)
Pt (0.3333, 0.6667, 0.4132)
Pt (0.3333, 0.6667, 0.9201)
Pt (0.6667, 0.3333, 0.0799)
Pt (0.6667, 0.3333, 0.5868)
Au (0.0000, 0.0000, 0.5000)
Au (0.3333, 0.6667, 0.1667)
Au (0.6667, 0.3333, 0.8333)

Properties
**DOS at the Fermi energy**: 0.896 states/eV per atom
**Crystal system**: trigonal
**Electronic total energy**: -70.052 eV/atom
**Relative energy among the computed polymorphs**: 0.00 eV/f.u.
**Formation energy**: 0.1085 eV/atom

Density functional theory data (SCAN) for a PBEsol-optimized structure of ReIr2Au.

a b c (Å): 4.6979 4.6979 2.7383
angles (deg): 90.00 90.00 90.00
Fractional positions:
Re (0.0000, 0.0000, 0.0000)
Ir (0.0000, 0.5000, 0.5000)
Ir (0.5000, 0.0000, 0.5000)
Au (0.5000, 0.5000, 0.0000)

Properties
**DOS at the Fermi energy**: 0.888 states/eV per atom
**Crystal system**: tetragonal
**Electronic total energy**: -70.073 eV/atom
**Relative energy among the computed polymorphs**: 1.56 eV/f.u.
**Formation energy**: 0.5397 eV/atom

Density functional theory data (SCAN) for a PBEsol-optimized structure of Re2IrAu.

a b c (Å): 3.8374 3.8374 4.0160
angles (deg): 90.00 90.00 90.00
Fractional positions:
Re (0.0000, 0.5000, 0.0000)
Re (0.5000, 0.0000, 0.0000)
Ir (0.0000, 0.0000, 0.5000)
Au (0.5000, 0.5000, 0.5000)

Properties
**DOS at the Fermi energy**: 0.926 states/eV per atom
**Crystal system**: tetragonal
**Electronic total energy**: -70.241 eV/atom
**Relative energy among the computed polymorphs**: 0.61 eV/f.u.
**Formation energy**: 0.3719 eV/atom

Density functional theory data (SCAN) for a PBEsol-optimized structure of ReIr2Au.

a b c (Å): 2.7422 2.7422 27.2909
angles (deg): 90.00 90.00 120.00
Fractional positions:
Re (0.0000, 0.0000, 0.0000)
Re (0.3333, 0.6667, 0.6667)
Re (0.6667, 0.3333, 0.3333)
Ir (0.0000, 0.0000, 0.2558)
Ir (0.0000, 0.0000, 0.5073)
Ir (0.3333, 0.6667, 0.1740)
Ir (0.3333, 0.6667, 0.9225)
Ir (0.6667, 0.3333, 0.5891)
Ir (0.6667, 0.3333, 0.8406)
Au (0.0000, 0.0000, 0.7538)
Au (0.3333, 0.6667, 0.4205)
Au (0.6667, 0.3333, 0.0872)

Properties
**DOS at the Fermi energy**: 0.701 states/eV per atom
**Crystal system**: trigonal
**Electronic total energy**: -70.463 eV/atom
**Relative energy among the computed polymorphs**: 0.00 eV/f.u.
**Formation energy**: 0.1501 eV/atom